# 1
Computed, not measured: an optimized crystal structure of SeS3F at the PBE-GGA level of DFT.

Energy relative to the elements, uncorrected in eV per atom: -0.128
D(E_F) in states/eV per cell: 2.19
Calculated density in g/cm3: 2.65
ΔE to the lowest computed polymorph in meV per atom: 0

a b c (Å): 4.9950 6.8270 7.1434
angles (deg): 90.00 90.00 90.00
Positions (direct):
F (0.0360, 0.8928, 0.7992)
S (0.9959, 0.4326, 0.5673)
S (0.4958, 0.9202, 0.5312)
S (0.2428, 0.9359, 0.2992)
S (0.9958, 0.4326, 0.0312)
F (0.5360, 0.4600, 0.2992)
Se (0.3513, 0.7473, 0.7992)
S (0.4958, 0.9202, 0.0673)
S (0.7429, 0.4168, 0.7992)
Se (0.8513, 0.6055, 0.2992)

***

# 2
Computed, not measured: an optimized crystal structure of Ba2TeRu at the PBE-GGA level of DFT.

Energy relative to the elements, uncorrected in eV per atom: -0.090
D(E_F) in states/eV per cell: 8.59
Calculated density in g/cm3: 5.17

a b c (Å): 4.8528 4.8528 6.8683
angles (deg): 90.00 90.00 90.00
Last column: magnetic moment on the atom in μB.
Positions (direct):
Ru (0.0000, 0.0000, 0.3749)  1.85
Te (0.5000, 0.5000, 0.8746)  0.01
Ba (0.5000, 0.5000, 0.3748)  -0.03
Ba (0.0000, 0.0000, 0.8757)  -0.01

***

# 3
Computed, not measured: an optimized crystal structure of Ce2ZnRu3 at the PBE-GGA level of DFT.

ΔE_f in eV/atom: -0.32
D(E_F) in states/eV per cell: 6.56
Calculated density in g/cm3: 9.94
ΔE to the lowest computed polymorph in meV per atom: 0

a b c (Å): 5.6125 5.6125 5.1301
angles (deg): 89.95 123.22 120.01
Positions (direct):
Ru (0.5000, 0.5000, 0.5000)
Ru (0.0000, 0.0000, 0.5000)
Zn (0.0000, 0.0000, 0.0000)
Ce (0.2732, 0.6366, 0.9099)
Ru (0.5000, 0.0000, 0.5000)
Ce (0.7268, 0.3634, 0.0901)

***

# 4
Computed, not measured: an optimized crystal structure of LiBTe3 at the PBE-GGA level of DFT.

Energy relative to the elements, uncorrected in eV per atom: 1.078
D(E_F) in states/eV per cell: 5.96
Calculated density in g/cm3: 5.10
ΔE to the lowest computed polymorph in meV per atom: 646

a b c (Å): 5.0707 5.0707 5.0707
angles (deg): 90.00 90.00 90.00
Positions (direct):
Te (0.5000, 0.0000, 0.0000)
B (0.5000, 0.5000, 0.5000)
Li (0.0000, 0.0000, 0.0000)
Te (0.0000, 0.0000, 0.5000)
Te (0.0000, 0.5000, 0.0000)

***

# 5
Computed, not measured: an optimized crystal structure of PrNdTe3 at the PBE-GGA level of DFT.

Energy relative to the elements, uncorrected in eV per atom: -1.474
D(E_F) in states/eV per cell: 0.90
Calculated density in g/cm3: 6.67
ΔE to the lowest computed polymorph in meV per atom: 0

a b c (Å): 4.4636 12.0056 12.4118
angles (deg): 90.00 90.00 90.00
Positions (direct):
Te (0.2500, 0.5572, 0.8816)
Nd (0.2500, 0.3122, 0.9842)
Te (0.7500, 0.8007, 0.7733)
Te (0.7500, 0.0572, 0.6184)
Te (0.7500, 0.6993, 0.2733)
Pr (0.7500, 0.5030, 0.6970)
Pr (0.2500, 0.4970, 0.3030)
Pr (0.7500, 0.9970, 0.1970)
Te (0.2500, 0.9428, 0.3816)
Te (0.7500, 0.1235, 0.9583)
Nd (0.7500, 0.6878, 0.0158)
Te (0.2500, 0.8765, 0.0417)
Te (0.2500, 0.6235, 0.5417)
Nd (0.2500, 0.1878, 0.4842)
Te (0.2500, 0.1993, 0.2267)
Pr (0.2500, 0.0030, 0.8030)
Nd (0.7500, 0.8122, 0.5158)
Te (0.2500, 0.3007, 0.7267)
Te (0.7500, 0.4428, 0.1184)
Te (0.7500, 0.3765, 0.4583)

***

# 6
Computed, not measured: an optimized crystal structure of TiBiSe2 at the PBE-GGA level of DFT.

Energy relative to the elements, uncorrected in eV per atom: -0.486
D(E_F) in states/eV per cell: 10.50
Calculated density in g/cm3: 7.20

a b c (Å): 6.2263 8.3352 7.3755
angles (deg): 90.00 90.00 90.00
Positions (direct):
Se (0.3490, 0.6669, 0.1730)
Ti (0.8342, 0.1469, 0.4374)
Se (0.8490, 0.8331, 0.1730)
Ti (0.3342, 0.3531, 0.4374)
Bi (0.9078, 0.5276, 0.4375)
Bi (0.5922, 0.0276, 0.9375)
Se (0.1510, 0.1669, 0.6730)
Bi (0.4078, 0.9724, 0.4375)
Se (0.1510, 0.1669, 0.2019)
Bi (0.0922, 0.4724, 0.9375)
Se (0.3490, 0.6669, 0.7019)
Ti (0.1658, 0.8531, 0.9374)
Se (0.6510, 0.3331, 0.2019)
Ti (0.6658, 0.6469, 0.9374)
Se (0.8490, 0.8331, 0.7019)
Se (0.6510, 0.3331, 0.6730)

***

Repeat the first record exactly.
Computed, not measured: an optimized crystal structure of SeS3F at the PBE-GGA level of DFT.

Energy relative to the elements, uncorrected in eV per atom: -0.128
D(E_F) in states/eV per cell: 2.19
Calculated density in g/cm3: 2.65
ΔE to the lowest computed polymorph in meV per atom: 0

a b c (Å): 4.9950 6.8270 7.1434
angles (deg): 90.00 90.00 90.00
Positions (direct):
F (0.0360, 0.8928, 0.7992)
S (0.9959, 0.4326, 0.5673)
S (0.4958, 0.9202, 0.5312)
S (0.2428, 0.9359, 0.2992)
S (0.9958, 0.4326, 0.0312)
F (0.5360, 0.4600, 0.2992)
Se (0.3513, 0.7473, 0.7992)
S (0.4958, 0.9202, 0.0673)
S (0.7429, 0.4168, 0.7992)
Se (0.8513, 0.6055, 0.2992)

***

- Number 4 is which compound?
  LiBTe3

***

What did the first record say?
Computed, not measured: an optimized crystal structure of SeS3F at the PBE-GGA level of DFT.

Energy relative to the elements, uncorrected in eV per atom: -0.128
D(E_F) in states/eV per cell: 2.19
Calculated density in g/cm3: 2.65
ΔE to the lowest computed polymorph in meV per atom: 0

a b c (Å): 4.9950 6.8270 7.1434
angles (deg): 90.00 90.00 90.00
Positions (direct):
F (0.0360, 0.8928, 0.7992)
S (0.9959, 0.4326, 0.5673)
S (0.4958, 0.9202, 0.5312)
S (0.2428, 0.9359, 0.2992)
S (0.9958, 0.4326, 0.0312)
F (0.5360, 0.4600, 0.2992)
Se (0.3513, 0.7473, 0.7992)
S (0.4958, 0.9202, 0.0673)
S (0.7429, 0.4168, 0.7992)
Se (0.8513, 0.6055, 0.2992)

***

- Number 3 is which compound?
  Ce2ZnRu3